A plane-wave DFT calculation with PBE was carried out for a geometry-optimized NaTcAsO structure.

Lattice parameters (Å, degrees): 3.742 3.742 9.443 90.00 90.00 90.00
Sites, in units of the cell vectors:
1 O 0.250 0.750 0.000
2 O 0.750 0.250 0.000
3 Tc 0.250 0.750 0.500
4 Tc 0.750 0.250 0.500
5 As 0.750 0.750 0.315
6 As 0.250 0.250 0.685
7 Na 0.250 0.250 0.130
8 Na 0.750 0.750 0.870

total energy = -21.8 eV per formula unit
space-group type = P4/nmm, No. 129
energy relative to the lowest polymorph listed for this composition = 598 meV per atom
total magnetic moment = 0.07 μB per formula unit